LiDyCuPd: optimized geometry, PBE.

Its space-group type is F-43m, No. 216. The value obtained for the magnetic moment is 0.0 μB/cell. The calculation puts the formation energy from the elements at -379 meV/atom.

Geometry as POSCAR:
```
LiDyCuPd
1.0
0.0000 3.3203 3.3203
3.3203 0.0000 3.3203
3.3203 3.3203 0.0000
Li Dy Cu Pd
1 1 1 1
Direct
0.0000 0.0000 0.0000 Li
0.5000 0.5000 0.5000 Dy
0.7500 0.7500 0.7500 Cu
0.2500 0.2500 0.2500 Pd
```